# MgBi2O4 (PBE, optimized geometry)
data_MgBi2O4
_cell_length_a 13.2036
_cell_length_b 3.4059
_cell_length_c 10.4667
_cell_angle_alpha 90.00
_cell_angle_beta 112.18
_cell_angle_gamma 90.00
_space_group_name_H-M_alt 'C 1 2/m 1'
_space_group_IT_number 12
loop_
_space_group_symop_operation_xyz
'x,y,z'
'-x,-y,-z'
'-x,y,-z'
'x,-y,z'
'x+1/2,y+1/2,z'
'-x+1/2,-y+1/2,-z'
'-x+1/2,y+1/2,-z'
'x+1/2,-y+1/2,z'
loop_
_atom_site_label
_atom_site_type_symbol
_atom_site_fract_x
_atom_site_fract_y
_atom_site_fract_z
Mg1 Mg 0.2495 0.0000 0.2497
Bi1 Bi 0.1144 0.0000 0.9061
Bi2 Bi 0.1143 0.5000 0.4071
O1 O 0.0968 0.0000 0.2615
O2 O 0.0974 0.5000 0.7608
O3 O 0.2221 0.5000 0.1013
O4 O 0.2226 0.0000 0.6014
# Theoretical density in kg/m3: 7715
# ΔE_f (raw) in eV/atom: -1.604
# Energy above the most stable polymorph in this dataset in meV/atom: 0.0
# DOS(E_F) in states/eV per cell: 0.00